No. 1
Material: MgSb2WI
Method: DFT, PBE-GGA
State: relaxed

Summary:
* E_form (uncorrected): 605 meV/atom

a b c (Å): 5.1908 5.1908 5.9841
angles (deg): 90.00 90.00 90.00
Fractional coordinates of all 5 atoms:
Mg: 0.0000 0.0000 0.0000
Sb: 0.0000 0.5000 0.5000
Sb: 0.5000 0.0000 0.5000
W: 0.5000 0.5000 0.5000
I: 0.5000 0.5000 0.0000

---

No. 2
Material: YHoCdRu
Method: DFT, PBE-GGA
State: relaxed

Summary:
* energy relative to the elements: -0.41 eV per atom

a b c (Å): 3.4658 3.4658 7.6451
angles (deg): 90.00 90.00 90.00
Fractional coordinates of all 4 atoms:
Y: 0.0000 0.0000 0.0000
Ho: 0.0000 0.0000 0.5681
Cd: 0.5000 0.5000 0.2858
Ru: 0.5000 0.5000 0.7798